Cd2GaPd5 | PBE | relaxed

Calculated values
- DFT formation energy (eV per atom) = -0.422
- E (eV/cell) = -34.20
- spin magnetization (μB/cell) = 0.00

Structure (POSCAR):
```
Cd2GaPd5
1.0
-3.682 -2.062 0.351
2.089 -3.661 0.412
0.973 3.772 6.821
Pd Cd Ga
5 2 1
direct
0.383 0.883 0.765 Pd
0.117 0.617 0.235 Pd
0.617 0.117 0.235 Pd
0.883 0.383 0.765 Pd
0.500 0.500 0.000 Pd
0.252 0.252 0.504 Cd
0.748 0.748 0.496 Cd
0.000 0.000 0.000 Ga
```

---

TiBeSn3 | PBE | relaxed

Calculated values
- DFT formation energy (eV per atom) = 0.731
- excess energy over the best structure of this formula in the dataset (meV/atom) = 104.6
- E (eV/cell) = -19.97
- spin magnetization (μB/cell) = 0.00

Structure (POSCAR):
```
TiBeSn3
1.0
5.285 0.000 0.000
0.000 5.285 0.000
0.000 0.000 5.285
Sn Ti Be
3 1 1
direct
0.500 0.000 0.000 Sn
0.000 0.500 0.000 Sn
0.000 0.000 0.500 Sn
0.000 0.000 0.000 Ti
0.500 0.500 0.500 Be
```